No. 1
A geometry-optimized La2Pm12Er structure. Source: the Alexandria database, functional PBE-GGA.

* theoretical density: 6.56 Mg/m³
* Fermi-level density of states: 1.4266 states/eV per atom
* E: -4.456 eV/atom
* ΔE_f: 306 meV per atom

Unit cell a=6.5946 b=6.5946 c=25.4213 alpha=90.00 beta=90.00 gamma=90.00
With the nearest neighbours (Å) after each atom.
Space group P4/nbm (No. 125, origin choice 2)
Unique sites:
La 0.2500 0.7500 0.2353 [4 per cell]  8 Pm 3.54-3.78
Pm 0.0617 0.5617 0.3877 [8 per cell]  1 Er 3.35, 7 Pm 3.40-3.52
Pm 0.0822 0.5822 0.9382 [8 per cell]  6 Pm 3.13-3.50
Pm 0.2500 0.2500 0.1623 [4 per cell]  1 Pm 3.15
Pm 0.2500 0.2500 0.2863 [4 per cell]  5 Pm 3.15-3.52
Er 0.2500 0.7500 0.5000 [2 per cell]  4 Pm 3.35

No. 2
A geometry-optimized La5Pm4Er2 structure. Source: the Alexandria database, functional PBE-GGA.

* theoretical density: 6.77 Mg/m³
* Fermi-level density of states: 1.7578 states/eV per atom
* E: -4.647 eV/atom
* ΔE_f: 150 meV per atom
* relative energy among the computed polymorphs: 1.429 eV per formula unit

Unit cell a=24.5390 b=3.6208 c=9.3119 alpha=90.00 beta=107.40 gamma=90.00
With the nearest neighbours (Å) after each atom.
Space group C2/m (No. 12)
Unique sites:
La 0.0000 0.0000 0.0000 [2 per cell]  4 Pm 3.45, 6 La 3.62-3.67
La 0.1258 0.5000 0.9666 [4 per cell]  4 Pm 3.46-3.80, 2 Er 3.53, 4 La 3.62-3.67
La 0.1723 0.5000 0.4100 [4 per cell]  2 Pm 3.56-3.65, 2 Er 3.61, 3 La 3.62-3.94
Pm 0.0174 0.5000 0.3263 [4 per cell]  4 Er 3.41-3.47, 4 La 3.45-3.75, 3 Pm 3.58-3.62
Pm 0.2328 0.0000 0.8141 [4 per cell]  1 Er 3.27, 2 La 3.46-3.56, 2 Pm 3.62
Er 0.0968 0.0000 0.6268 [4 per cell]  5 Pm 3.27-3.47, 4 La 3.53-3.61, 2 Er 3.62

No. 3
A geometry-optimized LaPm3Er4 structure. Source: the Alexandria database, functional PBE-GGA.

* theoretical density: 7.87 Mg/m³
* Fermi-level density of states: 1.4920 states/eV per atom
* E: -4.657 eV/atom
* ΔE_f: 22 meV per atom
* relative energy among the computed polymorphs: 0.000 eV per formula unit

Unit cell a=3.6272 b=9.9696 c=7.2495 alpha=90.00 beta=90.17 gamma=90.00
With the nearest neighbours (Å) after each atom.
Space group P2/m (No. 10)
Unique sites:
La 0.0000 0.0000 0.0000 [1 per cell]  8 Er 3.59-3.60, 2 Pm 3.62, 2 La 3.63
Pm 0.0000 0.0000 0.5000 [1 per cell]  8 Er 3.58-3.59, 2 La 3.62, 2 Pm 3.63
Pm 0.0000 0.5000 0.0000 [1 per cell]  8 Er 3.57, 4 Pm 3.62-3.63
Pm 0.0000 0.5000 0.5000 [1 per cell]  8 Er 3.55-3.56, 4 Pm 3.62-3.63
Er 0.5002 0.2520 0.2517 [4 per cell]  6 Pm 3.55-3.59, 2 La 3.59-3.60, 4 Er 3.60-3.65

- The highest ΔE_f belongs to which entry?
  La2Pm12Er